Here is a geometry-optimized CsMnHg2Te structure from Alexandria. Energies are from PBE.

```
data_CsMnHg2Te
_chemical_formula_sum 'Cs1 Mn1 Hg2 Te1'
_symmetry_space_group_name_H-M 'P 4/m m m'
_symmetry_Int_Tables_number 123
_symmetry_space_group_name_Hall '-P 4 2'
_cell_length_a 5.571
_cell_length_b 5.571
_cell_length_c 5.413
_cell_angle_alpha 90.00
_cell_angle_beta 90.00
_cell_angle_gamma 90.00
loop_
_atom_site_label
_atom_site_fract_x
_atom_site_fract_y
_atom_site_fract_z
_atom_site_occupancy
Cs1 0.000 0.000 0.000 1
Mn1 0.500 0.500 0.500 1
Hg1 0.000 0.500 0.500 1
Te1 0.500 0.500 0.000 1
```

formation energy from raw total energies = -20.9 kJ per mole of atoms

Here is a geometry-optimized Ag3C structure from Alexandria. Energies are from PBE.

```
data_Ag3C
_chemical_formula_sum 'Ag12 C4'
_symmetry_space_group_name_H-M 'I 4/m m m'
_symmetry_Int_Tables_number 139
_symmetry_space_group_name_Hall '-I 4 2'
_cell_length_a 4.488
_cell_length_b 4.488
_cell_length_c 14.853
_cell_angle_alpha 90.00
_cell_angle_beta 90.00
_cell_angle_gamma 90.00
loop_
_atom_site_label
_atom_site_fract_x
_atom_site_fract_y
_atom_site_fract_z
_atom_site_occupancy
Ag1 0.000 0.000 0.134 1
Ag2 0.000 0.500 0.000 1
Ag3 0.000 0.500 0.250 1
C1 0.000 0.000 0.456 1
```

ΔE to the lowest computed polymorph = 1.31 eV/f.u.

Here is a geometry-optimized La5Ho2Tl structure from Alexandria. Energies are from PBE.

```
data_La5Ho2Tl
_chemical_formula_sum 'La10 Ho4 Tl2'
_symmetry_space_group_name_H-M 'I m m m'
_symmetry_Int_Tables_number 71
_symmetry_space_group_name_Hall '-I 2 2'
_cell_length_a 3.519
_cell_length_b 11.479
_cell_length_c 13.165
_cell_angle_alpha 90.00
_cell_angle_beta 90.00
_cell_angle_gamma 90.00
loop_
_atom_site_label
_atom_site_fract_x
_atom_site_fract_y
_atom_site_fract_z
_atom_site_occupancy
La1 0.000 0.000 0.000 1
La2 0.000 0.264 0.374 1
Ho1 0.000 0.000 0.270 1
Tl1 0.000 0.500 0.000 1
```

final energy = -4.53 eV per atom

Here is a geometry-optimized Nb4C23 structure from Alexandria. Energies are from PBE.

```
data_Nb4C23
_chemical_formula_sum 'Nb8 C46'
_symmetry_space_group_name_H-M 'P m -3 n'
_symmetry_Int_Tables_number 223
_symmetry_space_group_name_Hall '-P 4n 2 3'
_cell_length_a 7.314
_cell_length_b 7.314
_cell_length_c 7.314
_cell_angle_alpha 90.00
_cell_angle_beta 90.00
_cell_angle_gamma 90.00
loop_
_atom_site_label
_atom_site_fract_x
_atom_site_fract_y
_atom_site_fract_z
_atom_site_occupancy
Nb1 0.000 0.000 0.000 1
Nb2 0.000 0.250 0.500 1
C1 0.000 0.291 0.177 1
C2 0.000 0.500 0.250 1
C3 0.184 0.184 0.184 1
```

final energy = -8.02 eV per atom

Here is a geometry-optimized ScPaSb structure from Alexandria. Energies are from PBE.

```
data_ScPaSb
_chemical_formula_sum 'Sc2 Pa2 Sb2'
_symmetry_space_group_name_H-M 'I 4 m m'
_symmetry_Int_Tables_number 107
_symmetry_space_group_name_Hall 'I 4 -2'
_cell_length_a 3.741
_cell_length_b 3.741
_cell_length_c 10.816
_cell_angle_alpha 90.00
_cell_angle_beta 90.00
_cell_angle_gamma 90.00
loop_
_atom_site_label
_atom_site_fract_x
_atom_site_fract_y
_atom_site_fract_z
_atom_site_occupancy
Sc1 0.000 0.000 0.000 1
Pa1 0.000 0.000 0.306 1
Sb1 0.000 0.000 0.628 1
```

ΔE to the lowest computed polymorph = 0.00 eV/f.u.
formation energy from raw total energies = -24.1 kJ per mole of atoms

Here is a geometry-optimized PtN structure from Alexandria. Energies are from PBE.

```
data_PtN
_chemical_formula_sum 'Pt4 N4'
_symmetry_space_group_name_H-M 'C 1 2/m 1'
_symmetry_Int_Tables_number 12
_symmetry_space_group_name_Hall '-C 2y'
_cell_length_a 10.392
_cell_length_b 3.763
_cell_length_c 2.781
_cell_angle_alpha 90.00
_cell_angle_beta 98.20
_cell_angle_gamma 90.00
loop_
_atom_site_label
_atom_site_fract_x
_atom_site_fract_y
_atom_site_fract_z
_atom_site_occupancy
Pt1 0.164 0.000 0.045 1
N1 0.000 0.341 0.000 1
```

formation energy from raw total energies = 46.6 kJ per mole of atoms

Here is a geometry-optimized Ge3PdAu structure from Alexandria. Energies are from PBE.

```
data_Ge3PdAu
_chemical_formula_sum 'Ge3 Pd1 Au1'
_symmetry_space_group_name_H-M 'P m -3 m'
_symmetry_Int_Tables_number 221
_symmetry_space_group_name_Hall '-P 4 2 3'
_cell_length_a 4.832
_cell_length_b 4.832
_cell_length_c 4.832
_cell_angle_alpha 90.00
_cell_angle_beta 90.00
_cell_angle_gamma 90.00
loop_
_atom_site_label
_atom_site_fract_x
_atom_site_fract_y
_atom_site_fract_z
_atom_site_occupancy
Ge1 0.000 0.000 0.500 1
Pd1 0.000 0.000 0.000 1
Au1 0.500 0.500 0.500 1
```

ΔE to the lowest computed polymorph = 0.00 eV/f.u.

Here is a geometry-optimized Cu5Te3 structure from Alexandria. Energies are from PBE.

```
data_Cu5Te3
_chemical_formula_sum 'Cu10 Te6'
_symmetry_space_group_name_H-M 'C m m m'
_symmetry_Int_Tables_number 65
_symmetry_space_group_name_Hall '-C 2 2'
_cell_length_a 5.457
_cell_length_b 13.927
_cell_length_c 4.321
_cell_angle_alpha 90.00
_cell_angle_beta 90.00
_cell_angle_gamma 90.00
loop_
_atom_site_label
_atom_site_fract_x
_atom_site_fract_y
_atom_site_fract_z
_atom_site_occupancy
Cu1 0.000 0.000 0.000 1
Cu2 0.236 0.000 0.500 1
Cu3 0.250 0.250 0.000 1
Te1 0.000 0.169 0.500 1
Te2 0.000 0.500 0.000 1
```

ΔE to the lowest computed polymorph = 0.60 eV/f.u.
formation energy from raw total energies = 14.1 kJ per mole of atoms